(1)
A geometry-optimized HoCu3S3 structure. Source: the Alexandria database, functional PBE-GGA.

Cell lengths 3.8550, 3.8550, 19.0714 Å; angles 90.00, 90.00, 120.00 degrees
Element x y z (fractional)
1 Ho 0.0000 0.0000 0.1727
2 Ho 0.0000 0.0000 0.8273
3 Cu 0.3333 0.6667 0.0477
4 Cu 0.3333 0.6667 0.4407
5 Cu 0.3333 0.6667 0.7011
6 Cu 0.6667 0.3333 0.2989
7 Cu 0.6667 0.3333 0.5593
8 Cu 0.6667 0.3333 0.9523
9 S 0.3333 0.6667 0.2542
10 S 0.3333 0.6667 0.5826
11 S 0.3333 0.6667 0.9182
12 S 0.6667 0.3333 0.0818
13 S 0.6667 0.3333 0.4174
14 S 0.6667 0.3333 0.7458

Output
- Formation energy (no corrections): -0.71 eV/atom
- Crystal system: trigonal

***

(2)
A geometry-optimized HoCu3S3 structure. Source: the Alexandria database, functional PBE-GGA.

Cell lengths 7.4299, 7.4299, 7.4299 Å; angles 53.50, 53.50, 53.50 degrees
Element x y z (fractional)
1 Ho 0.1664 0.1664 0.1664
2 Ho 0.8336 0.8336 0.8336
3 Cu 0.0363 0.7176 0.3769
4 Cu 0.2824 0.6231 0.9637
5 Cu 0.3769 0.0363 0.7176
6 Cu 0.6231 0.9637 0.2824
7 Cu 0.7176 0.3769 0.0363
8 Cu 0.9637 0.2824 0.6231
9 S 0.0841 0.4178 0.7484
10 S 0.2516 0.9159 0.5822
11 S 0.4178 0.7484 0.0841
12 S 0.5822 0.2516 0.9159
13 S 0.7484 0.0841 0.4178
14 S 0.9159 0.5822 0.2516

Output
- Formation energy (no corrections): -0.86 eV/atom
- Crystal system: trigonal

***

(3)
A geometry-optimized HoCu5S4 structure. Source: the Alexandria database, functional PBE-GGA.

Cell lengths 7.4054, 7.4054, 7.4054 Å; angles 150.04, 124.10, 64.72 degrees
Element x y z (fractional)
1 Ho 0.0000 0.0000 0.0000
2 Cu 0.0206 0.3195 0.7010
3 Cu 0.3815 0.6805 0.7010
4 Cu 0.5000 0.0000 0.5000
5 Cu 0.6185 0.3195 0.2990
6 Cu 0.9794 0.6805 0.2990
7 S 0.2237 0.2237 0.0000
8 S 0.2784 0.5000 0.7784
9 S 0.7216 0.5000 0.2216
10 S 0.7763 0.7763 0.0000

Output
- Formation energy (no corrections): -0.56 eV/atom
- Crystal system: orthorhombic

***

(4)
A geometry-optimized Ho2CuS structure. Source: the Alexandria database, functional PBE-GGA.

Cell lengths 7.4885, 7.4885, 7.4885 Å; angles 29.34, 29.34, 29.34 degrees
Element x y z (fractional)
1 Ho 0.0000 0.0000 0.0000
2 Ho 0.1696 0.1696 0.1696
3 Cu 0.5856 0.5856 0.5856
4 S 0.4167 0.4167 0.4167

Output
- Formation energy (no corrections): -0.94 eV/atom
- Crystal system: trigonal

***

(5)
A geometry-optimized HoCuS2 structure. Source: the Alexandria database, functional PBE-GGA.

Cell lengths 7.4449, 7.4449, 7.4449 Å; angles 31.81, 31.81, 31.81 degrees
Element x y z (fractional)
1 Ho 0.0000 0.0000 0.0000
2 Cu 0.5000 0.5000 0.5000
3 S 0.3993 0.3993 0.3993
4 S 0.6007 0.6007 0.6007

Output
- Formation energy (no corrections): -1.31 eV/atom
- Crystal system: trigonal

***

(6)
A geometry-optimized HoCuS2 structure. Source: the Alexandria database, functional PBE-GGA.

Cell lengths 3.9455, 6.2506, 13.4000 Å; angles 90.00, 90.00, 90.00 degrees
Element x y z (fractional)
1 Ho 0.2484 0.2483 0.1334
2 Ho 0.2516 0.7517 0.6334
3 Ho 0.7484 0.2517 0.8666
4 Ho 0.7516 0.7483 0.3666
5 Cu 0.2475 0.6242 0.9554
6 Cu 0.2525 0.3757 0.4554
7 Cu 0.7475 0.8758 0.0446
8 Cu 0.7525 0.1243 0.5446
9 S 0.2482 0.0041 0.9600
10 S 0.2486 0.4905 0.7954
11 S 0.2514 0.5095 0.2954
12 S 0.2518 0.9959 0.4600
13 S 0.7482 0.4959 0.0400
14 S 0.7486 0.0095 0.2046
15 S 0.7514 0.9905 0.7046
16 S 0.7518 0.5041 0.5400

Output
- Formation energy (no corrections): -1.38 eV/atom
- Crystal system: orthorhombic

***

(7)
A geometry-optimized Ho2CuS structure. Source: the Alexandria database, functional PBE-GGA.

Cell lengths 9.1370, 9.1370, 9.1370 Å; angles 22.89, 22.89, 22.89 degrees
Element x y z (fractional)
1 Ho 0.1042 0.1042 0.1042
2 Ho 0.8958 0.8958 0.8958
3 Cu 0.0000 0.0000 0.0000
4 S 0.5000 0.5000 0.5000

Output
- Formation energy (no corrections): -0.44 eV/atom
- Crystal system: trigonal

***

(8)
A geometry-optimized HoCuS2 structure. Source: the Alexandria database, functional PBE-GGA.

Cell lengths 6.3400, 6.9832, 6.7349 Å; angles 90.00, 97.08, 90.00 degrees
Element x y z (fractional)
1 Ho 0.1938 0.0473 0.3005
2 Ho 0.1938 0.4527 0.8005
3 Ho 0.8062 0.5473 0.1995
4 Ho 0.8062 0.9527 0.6995
5 Cu 0.4187 0.6618 0.4513
6 Cu 0.4187 0.8382 0.9513
7 Cu 0.5813 0.1618 0.0487
8 Cu 0.5813 0.3382 0.5487
9 S 0.0718 0.7269 0.4972
10 S 0.0718 0.7731 0.9972
11 S 0.4075 0.1133 0.7183
12 S 0.4075 0.3867 0.2183
13 S 0.5925 0.6133 0.7817
14 S 0.5925 0.8867 0.2817
15 S 0.9282 0.2269 0.0028
16 S 0.9282 0.2731 0.5028

Output
- Formation energy (no corrections): -1.37 eV/atom
- Crystal system: monoclinic

***

- Among the records above, which one has the lowest formation energy (no corrections)?
  number 6

***

- Which value of formation energy (no corrections) does entry 3 give?
  -0.56 eV/atom

***

- What is the formula in the second record?
  HoCu3S3

***

- Which of these has the highest formation energy (no corrections)?
  number 7